Arrangement one

This record from the Alexandria database describes Dy3Ho4Mg after structural relaxation. The functional is PBE-GGA.

Geometry as extended XYZ:
```
16
Lattice="6.160 0.000 0.000 0.000 7.064 0.000 0.000 0.000 11.179" Properties=species:S:1:pos:R:3 pbc="T T T"
Ho 2.998 6.173 8.329
Ho 3.955 0.882 0.000
Ho 4.067 0.871 5.589
Ho 6.078 0.892 8.439
Ho 0.875 6.183 5.589
Ho 0.987 6.193 0.000
Ho 2.998 6.173 2.850
Ho 6.078 0.892 2.739
Dy 0.846 2.629 5.589
Dy 6.022 4.395 2.735
Dy 2.942 2.670 2.854
Dy 3.926 4.436 0.000
Dy 2.942 2.670 8.325
Dy 6.022 4.395 8.443
Mg 3.985 4.412 5.589
Mg 0.905 2.653 0.000
```

theoretical density: 8.00 g cm⁻³

---

Arrangement two

This record from the Alexandria database describes Dy3Ho4Mg after structural relaxation. The functional is PBE-GGA.

Geometry as extended XYZ:
```
8
Lattice="-3.140 1.180 0.349 -0.212 -2.165 5.410 6.203 10.748 3.187" Properties=species:S:1:pos:R:3 pbc="T T T"
Ho 0.902 1.886 1.743
Ho 2.451 4.743 6.022
Ho 0.400 5.019 2.924
Ho 1.949 7.876 7.203
Dy -0.106 -1.083 2.705
Dy 1.237 1.848 4.877
Dy 1.615 7.914 4.069
Mg -1.570 0.590 0.175
```

theoretical density: 7.83 g cm⁻³

---

Energy relative to the most stable one, in eV/atom: arrangement one 0.000; arrangement two 0.221

---

Arrangement one

This record from the Alexandria database describes DyHo4Mg after structural relaxation. The functional is PBE-GGA.

Geometry as extended XYZ:
```
12
Lattice="-3.452 -4.942 -0.525 0.883 -4.681 3.730 -8.230 1.187 8.312" Properties=species:S:1:pos:R:3 pbc="T T T"
Ho -6.705 -5.073 4.944
Ho -2.563 -2.889 3.496
Ho -4.094 -3.362 6.574
Ho -3.415 -6.098 4.559
Ho -8.627 -4.348 11.253
Ho -7.385 -2.338 6.958
Ho -2.172 -4.088 0.265
Ho -8.236 -5.547 8.022
Mg -5.643 -3.812 9.618
Mg -5.157 -4.624 1.900
Dy 0.441 -2.341 1.865
Dy -5.841 -1.877 3.894
```

theoretical density: 7.87 g cm⁻³

---

Arrangement two

This record from the Alexandria database describes DyHo4Mg after structural relaxation. The functional is PBE-GGA.

Geometry as extended XYZ:
```
6
Lattice="3.536 0.000 0.000 0.000 3.536 0.000 0.000 0.000 14.325" Properties=species:S:1:pos:R:3 pbc="T T T"
Ho 1.768 1.768 11.820
Ho 0.000 0.000 9.376
Ho 1.768 1.768 2.505
Ho 0.000 0.000 4.949
Dy 0.000 0.000 0.000
Mg 1.768 1.768 7.162
```

theoretical density: 7.85 g cm⁻³

---

Energy relative to the most stable one, in eV/atom: arrangement one 0.037; arrangement two 0.000